(1)
POsPb4: optimized geometry, PBE.

a b c (Å): 8.7441 8.7441 8.7441
angles (deg): 90.00 90.00 90.00
Last column: nearest neighbours and their distance in Å.
Space group F-43m (No. 216)
Asymmetric unit:
1 P 0.0000 0.0000 0.0000  12 Pb 3.63, 4 Os 3.79
2 Os 0.2500 0.2500 0.2500  12 Pb 3.62, 4 P 3.79
3 Pb 0.1246 0.1246 0.6246  6 Pb 3.08-3.10

Computed properties:
ΔH_f (0 K): 1.329 eV per atom
volume: 27.9 Å³ per atom

***

(2)
POsPb2: optimized geometry, PBE.

a b c (Å): 6.2747 6.2747 12.2057
angles (deg): 90.00 90.00 90.00
Last column: nearest neighbours and their distance in Å.
Space group I-42d (No. 122)
Asymmetric unit:
1 P 0.0000 0.0000 0.0000  4 Pb 2.73
2 Os 0.0000 0.0000 0.5000  4 Pb 2.66
3 Pb 0.2408 0.2500 0.6250  2 Os 2.66, 2 P 2.73

Computed properties:
ΔH_f (0 K): 1.040 eV per atom
volume: 30.0 Å³ per atom

***

Please write out number 2 again, unchanged.
POsPb2: optimized geometry, PBE.

a b c (Å): 6.2747 6.2747 12.2057
angles (deg): 90.00 90.00 90.00
Last column: nearest neighbours and their distance in Å.
Space group I-42d (No. 122)
Asymmetric unit:
1 P 0.0000 0.0000 0.0000  4 Pb 2.73
2 Os 0.0000 0.0000 0.5000  4 Pb 2.66
3 Pb 0.2408 0.2500 0.6250  2 Os 2.66, 2 P 2.73

Computed properties:
ΔH_f (0 K): 1.040 eV per atom
volume: 30.0 Å³ per atom

***

Repeat the second record exactly.
POsPb2: optimized geometry, PBE.

a b c (Å): 6.2747 6.2747 12.2057
angles (deg): 90.00 90.00 90.00
Last column: nearest neighbours and their distance in Å.
Space group I-42d (No. 122)
Asymmetric unit:
1 P 0.0000 0.0000 0.0000  4 Pb 2.73
2 Os 0.0000 0.0000 0.5000  4 Pb 2.66
3 Pb 0.2408 0.2500 0.6250  2 Os 2.66, 2 P 2.73

Computed properties:
ΔH_f (0 K): 1.040 eV per atom
volume: 30.0 Å³ per atom

***

What is the volume in the second record?
30.0 Å³ per atom

***

Which of these has the highest volume?
POsPb2